# Er2NiH | Alexandria | GGA-PBE | optimized geometry
# - Calculated volume: 223 Å³/cell
# - Energy relative to the lowest polymorph listed for this composition: 334 meV/atom
# - Electronic total energy: -52.08 eV per cell
# - Total magnetization: 0.00 μB per formula unit
data_Er2NiH
_chemical_formula_sum 'Er6 Ni3 H3'
_symmetry_space_group_name_H-M 'R -3 m'
_symmetry_Int_Tables_number 166
_symmetry_space_group_name_Hall '-R 3 2"'
_cell_length_a 3.3115
_cell_length_b 3.3115
_cell_length_c 23.4869
_cell_angle_alpha 90.00
_cell_angle_beta 90.00
_cell_angle_gamma 120.00
loop_
_atom_site_label
_atom_site_fract_x
_atom_site_fract_y
_atom_site_fract_z
Er1 0.0000 0.0000 0.1071
Ni1 0.0000 0.0000 0.0000
H1 0.0000 0.0000 0.5000